The following is a PBE calculation of CaHfMo2 after structural relaxation, from Alexandria via LeMat-Bulk.

Cell and atoms, written as extended XYZ:
```
8
Lattice="-3.7858 3.7858 2.9273 3.7858 -3.7858 2.9273 3.7858 3.7858 -2.9273" Properties=species:S:1:pos:R:3 pbc="T T T"
Ca 0.0000 0.0000 0.0000
Ca 0.0000 3.7858 1.4637
Hf 3.7858 0.0000 1.4637
Hf 0.0000 0.0000 2.9273
Mo 1.8929 -1.7746 2.1955
Mo 2.0112 1.8929 0.7318
Mo 1.8929 5.5604 -0.7318
Mo 1.7746 1.8929 3.6592
```

Calculated values
The energy relative to the lowest polymorph listed for this composition is 409 meV/atom. The value obtained for the formation energy is 1.148 eV per atom. As for the density of states at the Fermi level: 15.40 states/eV per cell. As for the space-group type: I-42d (122).

The following is a PBE calculation of BaTbPt after structural relaxation, from Alexandria via LeMat-Bulk.

Cell and atoms, written as extended XYZ:
```
3
Lattice="-1.8630 1.8630 6.8990 1.8630 -1.8630 6.8990 1.8630 1.8630 -6.8990" Properties=species:S:1:pos:R:3 pbc="T T T"
Ba 0.0000 0.0000 0.0000
Tb 0.0000 0.0000 3.5045
Pt 0.0000 0.0000 9.1597
```

Calculated values
The value obtained for the formation energy is -0.649 eV per atom. As for the density of states at the Fermi level: 2.74 states/eV per cell. As for the space-group type: I4mm (107).

The following is a PBE calculation of TbHg2F8 after structural relaxation, from Alexandria via LeMat-Bulk.

Cell and atoms, written as extended XYZ:
```
11
Lattice="7.0809 0.0000 0.0000 -3.5405 6.1322 0.0000 0.0000 0.0000 4.4315" Properties=species:S:1:pos:R:3 pbc="T T T"
Tb 0.0000 0.0000 0.0000
Hg 0.0000 4.0882 3.2733
Hg 3.5405 2.0441 1.1582
F -0.0067 1.8866 3.2944
F -1.9033 5.1947 3.2944
F 1.6305 0.9491 1.1371
F 0.0000 4.0882 1.0595
F 3.5405 2.0441 3.3721
F 1.9100 5.1832 3.2944
F 5.4438 0.9375 1.1371
F 3.5471 4.2457 1.1371
```

Calculated values
For the uncorrected formation energy, the calculation gives -2188 meV per atom. As for the density of states at the Fermi level: 4.50 states/eV per cell. As for the space-group type: P-3 (147).

The following is a PBE calculation of Na2Sr6Au after structural relaxation, from Alexandria via LeMat-Bulk.

Cell and atoms, written as extended XYZ:
```
18
Lattice="-5.4668 5.9160 6.1229 5.4668 -5.9160 6.1229 5.4668 5.9160 -6.1229" Properties=species:S:1:pos:R:3 pbc="T T T"
Na 3.9535 0.0000 0.0000
Na 6.9802 0.0000 0.0000
Na 0.0000 1.5596 0.0000
Na 0.0000 10.2724 0.0000
Sr 5.4668 -1.9909 3.3988
Sr 3.5852 5.9160 -3.1681
Sr 1.8816 0.0000 2.9548
Sr 3.1889 3.6724 0.0000
Sr 2.2779 -2.2436 6.1229
Sr 5.4668 1.9909 3.3988
Sr 0.0000 3.9251 2.7242
Sr 3.1889 8.1596 0.0000
Sr 2.2779 2.2436 6.1229
Sr 3.5852 5.9160 3.1681
Sr 1.8816 0.0000 9.2911
Sr 0.0000 7.9069 2.7242
Au 0.0000 5.9160 0.0000
Au 0.0000 0.0000 6.1229
```

Calculated values
The value obtained for the formation energy is -0.090 eV per atom. As for the density of states at the Fermi level: 13.40 states/eV per cell. As for the space-group type: Immm (71).

The following is a PBE calculation of UIn2Br4F2 after structural relaxation, from Alexandria via LeMat-Bulk.

Cell and atoms, written as extended XYZ:
```
9
Lattice="6.3388 -3.9884 0.0000 6.3388 3.9884 0.0000 -0.3583 0.0000 5.8003" Properties=species:S:1:pos:R:3 pbc="T T T"
U 0.0000 0.0000 0.0000
In 3.7786 0.0000 4.3273
In 8.5407 0.0000 1.4730
Br 4.7338 1.9592 1.2389
Br 7.5856 1.9592 4.5614
Br 4.7338 -1.9592 1.2389
Br 7.5856 -1.9592 4.5614
F 1.3592 0.0000 1.5412
F 10.9601 0.0000 4.2590
```

Calculated values
For the uncorrected formation energy, the calculation gives -1638 meV per atom. As for the density of states at the Fermi level: 0.54 states/eV per cell. As for the space-group type: C2/m (12).

The following is a PBE calculation of Tl2PbBr after structural relaxation, from Alexandria via LeMat-Bulk.

Cell and atoms, written as extended XYZ:
```
4
Lattice="-2.3649 2.3649 5.7567 2.3649 -2.3649 5.7567 2.3649 2.3649 -5.7567" Properties=species:S:1:pos:R:3 pbc="T T T"
Tl 0.0000 0.0000 0.0000
Tl 0.0000 2.3649 2.8784
Pb 0.0000 0.0000 5.7567
Br 2.3649 0.0000 2.8784
```

Calculated values
The energy relative to the lowest polymorph listed for this composition is 101 meV/atom. For the uncorrected formation energy, the calculation gives -174 meV per atom. As for the density of states at the Fermi level: 2.23 states/eV per cell. As for the space-group type: I-4m2 (119).

The following is a PBE calculation of SrRe4Pb after structural relaxation, from Alexandria via LeMat-Bulk.

Cell and atoms, written as extended XYZ:
```
6
Lattice="0.0000 3.8594 3.8594 3.8594 0.0000 3.8594 3.8594 3.8594 0.0000" Properties=species:S:1:pos:R:3 pbc="T T T"
Sr 0.0000 0.0000 0.0000
Re 2.8995 2.8995 2.8995
Re 4.8193 4.8193 2.8995
Re 4.8193 2.8995 4.8193
Re 2.8995 4.8193 4.8193
Pb 5.7891 5.7891 5.7891
```

Calculated values
The value obtained for the formation energy is 0.682 eV per atom. As for the density of states at the Fermi level: 4.69 states/eV per cell. As for the space-group type: F-43m (216).

The following is a PBE calculation of Ti4AlPt after structural relaxation, from Alexandria via LeMat-Bulk.

Cell and atoms, written as extended XYZ:
```
24
Lattice="7.7931 0.0000 0.0000 0.0000 18.3438 0.0000 0.0000 0.0000 2.7300" Properties=species:S:1:pos:R:3 pbc="T T T"
Ti 0.5302 3.4346 0.0000
Ti 0.5569 8.0101 0.0000
Ti 1.6063 1.0004 0.0000
Ti 1.7709 5.7424 0.0000
Ti 2.1257 14.9144 0.0000
Ti 2.2903 10.1723 0.0000
Ti 3.3397 17.1820 0.0000
Ti 3.3664 12.6065 0.0000
Ti 4.4268 5.7373 0.0000
Ti 4.4535 1.1618 0.0000
Ti 5.5028 8.1715 0.0000
Ti 5.6674 3.4295 0.0000
Ti 6.0223 12.6014 0.0000
Ti 6.1869 17.3434 0.0000
Ti 7.2363 10.3338 0.0000
Ti 7.2629 14.9092 0.0000
Al 0.8202 12.5963 1.3650
Al 3.0764 3.4244 1.3650
Al 4.7168 14.9195 1.3650
Al 6.9729 5.7475 1.3650
Pt 0.8288 17.0453 1.3650
Pt 3.0678 7.8734 1.3650
Pt 4.7253 10.4705 1.3650
Pt 6.9644 1.2985 1.3650
```

Calculated values
The energy relative to the lowest polymorph listed for this composition is 0 meV/atom. The value obtained for the formation energy is -0.307 eV per atom. As for the density of states at the Fermi level: 30.04 states/eV per cell. As for the space-group type: Pbam (55).